No. 1
A plane-wave DFT calculation with SCAN was carried out for a crystal of TcSeBr3 relaxed with PBEsol.

- formation energy (no corrections) (meV per atom) = 332
- DOS(E_F) (states/eV/atom) = 0.531
- raw total energy (eV/atom) = -22.372
- magnetization (μB/f.u.) = 0.9
- volume (Å³/atom) = 24.716

```
data_TcSeBr3
_chemical_formula_sum 'Tc1 Se1 Br3'
_symmetry_space_group_name_H-M 'P m -3 m'
_symmetry_Int_Tables_number 221
_symmetry_space_group_name_Hall '-P 4 2 3'
_cell_length_a 4.981
_cell_length_b 4.981
_cell_length_c 4.981
_cell_angle_alpha 90.00
_cell_angle_beta 90.00
_cell_angle_gamma 90.00
loop_
_atom_site_label
_atom_site_type_symbol
_atom_site_fract_x
_atom_site_fract_y
_atom_site_fract_z
_atom_site_occupancy
Tc1 Tc 0.000 0.000 0.000 1
Se1 Se 0.500 0.500 0.500 1
Br1 Br 0.000 0.000 0.500 1
```

---

No. 2
A plane-wave DFT calculation with SCAN was carried out for a crystal of TcSe2Br relaxed with PBEsol.

- formation energy (no corrections) (meV per atom) = 373
- DOS(E_F) (states/eV/atom) = 0.729
- raw total energy (eV/atom) = -23.296
- distance to the lowest polymorph of the same formula (eV/atom) = 0.758
- magnetization (μB/f.u.) = 0.0
- volume (Å³/atom) = 19.980

```
data_TcSe2Br
_chemical_formula_sum 'Tc1 Se2 Br1'
_symmetry_space_group_name_H-M 'P 4 m m'
_symmetry_Int_Tables_number 99
_symmetry_space_group_name_Hall 'P 4 -2'
_cell_length_a 3.342
_cell_length_b 3.342
_cell_length_c 7.156
_cell_angle_alpha 90.00
_cell_angle_beta 90.00
_cell_angle_gamma 90.00
loop_
_atom_site_label
_atom_site_type_symbol
_atom_site_fract_x
_atom_site_fract_y
_atom_site_fract_z
_atom_site_occupancy
Tc1 Tc 0.000 0.000 0.000 1
Se1 Se 0.000 0.000 0.647 1
Se2 Se 0.500 0.500 0.854 1
Br1 Br 0.500 0.500 0.266 1
```

---

No. 3
A plane-wave DFT calculation with SCAN was carried out for a crystal of TcSeBr relaxed with PBEsol.

- formation energy (no corrections) (meV per atom) = -145
- DOS(E_F) (states/eV/atom) = 0.223
- raw total energy (eV/atom) = -25.011
- magnetization (μB/f.u.) = 0.0
- volume (Å³/atom) = 23.098

```
data_TcSeBr
_chemical_formula_sum 'Tc1 Se1 Br1'
_symmetry_space_group_name_H-M 'P 3 m 1'
_symmetry_Int_Tables_number 156
_symmetry_space_group_name_Hall 'P 3 -2"'
_cell_length_a 3.7512
_cell_length_b 3.7512
_cell_length_c 5.6862
_cell_angle_alpha 90.00
_cell_angle_beta 90.00
_cell_angle_gamma 120.00
loop_
_atom_site_label
_atom_site_type_symbol
_atom_site_fract_x
_atom_site_fract_y
_atom_site_fract_z
_atom_site_occupancy
Tc1 Tc 0.0000 0.0000 0.0000 1
Se1 Se 0.6667 0.3333 0.1644 1
Br1 Br 0.3333 0.6667 0.7121 1
```

---

- magnetization of number 3 (TcSeBr)?
  0.0 μB/f.u.